No. 1
Mg2Ga2Tc PBE relaxed; total DFT energy (no corrections) = -39.148 eV/cell; SG = Ibam, No. 72
1.0
5.371 0.000 0.000
0.000 5.349 0.000
-2.685 -2.674 6.501
Mg Ga Tc
4 4 2
direct
0.822 0.499 0.644
0.178 0.501 0.356
0.678 0.855 0.356
0.322 0.145 0.644
0.403 0.745 0.806
0.597 0.255 0.194
0.097 0.939 0.194
0.903 0.061 0.806
0.750 0.500 0.000
0.250 0.500 0.000



No. 2
SrZr2Mn PBE relaxed; total DFT energy (no corrections) = -26.188 eV/cell; SG = R-3m, No. 166
1.0
9.980 0.020 0.012
9.374 3.424 0.012
9.374 1.668 2.990
Mn Sr Zr
1 1 2
direct
0.250 0.250 0.250
0.750 0.750 0.750
0.974 0.974 0.974
0.526 0.526 0.526



No. 3
Hf2AgHg2Te6 PBE relaxed; uncorrected formation energy = -0.39 eV/atom; SG = C2/m, No. 12
1.0
-5.818 -3.125 -3.373
2.598 -2.460 6.495
-3.813 6.764 2.797
Hf Ag Hg Te
2 1 2 6
direct
0.358 0.642 0.500
0.642 0.358 0.500
0.000 0.000 0.500
0.700 0.300 0.000
0.300 0.700 0.000
0.712 0.712 0.739
0.030 0.380 0.686
0.288 0.288 0.261
0.380 0.030 0.686
0.970 0.620 0.314
0.620 0.970 0.314



No. 4
TbScAsS PBE relaxed; uncorrected formation energy = -1.62 eV/atom; SG = R3m, No. 160
1.0
3.846 -0.001 0.000
-1.923 3.331 0.000
-1.922 -1.109 6.755
Tb Sc As S
1 1 1 1
direct
0.475 0.135 0.625
0.129 0.962 0.107
0.317 0.556 0.888
0.958 0.377 0.350



No. 5
AlGa2Se PBE relaxed; uncorrected formation energy = -0.05 eV/atom; SG = I-42d, No. 122
1.0
6.029 0.000 0.000
0.000 6.029 0.000
3.015 3.015 5.763
Ga Se Al
4 2 2
direct
0.620 0.125 0.250
0.130 0.625 0.250
0.375 0.380 0.750
0.875 0.870 0.750
0.000 0.000 0.000
0.750 0.250 0.500
0.500 0.500 0.000
0.250 0.750 0.500



No. 6
Li2Cu7Ge2Au PBE relaxed; total DFT energy (no corrections) = -45.244 eV/cell; SG = C2/m, No. 12
1.0
3.729 -0.012 0.296
-0.007 3.729 0.296
2.779 2.776 12.366
Li Cu Ge Au
2 7 2 1
direct
0.825 0.825 0.676
0.175 0.175 0.324
0.500 0.500 0.000
0.268 0.268 0.500
0.732 0.732 0.500
0.835 0.335 0.164
0.335 0.835 0.164
0.665 0.165 0.836
0.165 0.665 0.836
0.690 0.690 0.309
0.310 0.310 0.691
0.000 0.000 0.000



No. 7
Hf2Ag2Te PBE relaxed; uncorrected formation energy = 0.32 eV/atom; SG = I4/mmm, No. 139
1.0
-4.120 0.025 0.901
-0.885 -0.891 -4.026
-2.241 -6.916 -0.186
Te Hf Ag
1 2 2
direct
0.000 0.000 0.000
0.750 0.250 0.500
0.250 0.750 0.500
0.399 0.399 0.202
0.601 0.601 0.798



No. 8
LiCaGaNi PBE relaxed; total DFT energy (no corrections) = -13.949 eV/cell; SG = Cm, No. 8
1.0
-1.480 -0.618 -3.964
3.999 -1.118 0.987
-3.731 -3.445 1.931
Li Ca Ga Ni
1 1 1 1
direct
0.822 0.645 0.109
0.623 0.247 0.513
0.099 0.198 0.939
0.421 0.843 0.906



Question: What is the formula in the fourth record?
Answer: TbScAsS



Question: Number 6 is which compound?
Answer: Li2Cu7Ge2Au